# 1
Density functional theory data (GGA-PBE) for a geometry-optimized NbGaSn2O6 structure.

Cell: 5.6596 5.6596 5.6596 Å, 60.00 60.00 60.00°
Last column: nearest neighbours and their distance in Å.
Element x y z (fractional)
Ga 0.0000 0.0000 0.0000  6 O 1.99
Sn 0.2500 0.2500 0.2500  12 O 2.83
O 0.7510 0.7510 0.2490  1 Ga 1.99, 1 Nb 2.01
Sn 0.7500 0.7500 0.7500  12 O 2.83
O 0.2490 0.7510 0.2490  1 Ga 1.99, 1 Nb 2.01
O 0.7510 0.2490 0.7510  1 Ga 1.99, 1 Nb 2.01
Nb 0.5000 0.5000 0.5000  6 O 2.01
O 0.2490 0.2490 0.7510  1 Ga 1.99, 1 Nb 2.01
O 0.7510 0.2490 0.2490  1 Ga 1.99, 1 Nb 2.01
O 0.2490 0.7510 0.7510  1 Ga 1.99, 1 Nb 2.01

Volume in Å³ per cell: 128.2
Formation energy (no corrections) in eV/f.u.: -16.88
Mass density in g cm⁻³: 6.4
Space group: Fm-3m, No. 225
Total moment in μB/f.u.: 0.0

# 2
Density functional theory data (GGA-PBE) for a geometry-optimized La6C2I3Cl structure.

Cell: 7.0337 7.0337 8.2466 Å, 98.19 98.19 120.03°
Last column: nearest neighbours and their distance in Å.
Element x y z (fractional)
La 0.5813 0.9403 0.8208  2 C 2.67, 1 Cl 2.89
I 0.8375 0.1625 0.5000  6 La 3.36-3.52
I 0.5000 0.5000 0.5000  6 La 3.34-3.52
C 0.3332 0.6668 0.0000  6 La 2.66-2.67
La 0.0597 0.4187 0.1792  2 C 2.67, 1 Cl 2.89
La 0.9403 0.5813 0.8208  2 C 2.67, 1 Cl 2.89
La 0.7010 0.7010 0.1782  2 C 2.66, 1 Cl 2.89
I 0.1625 0.8375 0.5000  6 La 3.36-3.52
La 0.4187 0.0597 0.1792  2 C 2.67, 1 Cl 2.89
Cl 0.0000 0.0000 0.0000  6 La 2.89
La 0.2990 0.2990 0.8218  2 C 2.66, 1 Cl 2.89
C 0.6668 0.3332 0.0000  6 La 2.66-2.67

Volume in Å³ per cell: 338.6
Formation energy (no corrections) in eV/f.u.: -11.28
Mass density in g cm⁻³: 6.2
Space group: C2/m, No. 12
Total moment in μB/f.u.: 0.0

# 3
Density functional theory data (GGA-PBE) for a geometry-optimized Mg2Hg7Pb structure.

Cell: 4.8908 8.5544 8.5544 Å, 123.10 90.00 90.00°
Last column: nearest neighbours and their distance in Å.
Element x y z (fractional)
Hg 0.0000 0.2144 0.7856  2 Mg 2.78
Hg 0.5000 0.3024 0.0754  1 Mg 2.83, 2 Hg 3.06-3.08
Mg 0.5000 0.3027 0.6973  5 Hg 2.78-2.97
Hg 0.5000 0.5000 0.5000  2 Mg 2.97, 4 Hg 3.06
Hg 0.5000 0.0754 0.3024  1 Mg 2.83, 2 Hg 3.06-3.08
Hg 0.0000 0.7856 0.2144  2 Mg 2.78
Hg 0.5000 0.6976 0.9246  1 Mg 2.83, 2 Hg 3.06-3.08
Mg 0.5000 0.6973 0.3027  5 Hg 2.78-2.97
Pb 0.0000 0.0000 0.0000  10 Hg 3.22-3.36
Hg 0.5000 0.9246 0.6976  1 Mg 2.83, 2 Hg 3.06-3.08

Volume in Å³ per cell: 299.8
Energy above the most stable polymorph in this dataset in eV/atom: 0.036
Mass density in g cm⁻³: 9.2
ΔE_f in meV per atom: 32.8
Space group: Cmmm, No. 65
Total moment in μB/f.u.: 0.0

# 4
Density functional theory data (GGA-PBE) for a geometry-optimized CePmSb2 structure.

Cell: 5.4580 5.4580 5.4580 Å, 60.00 60.00 60.00°
Last column: nearest neighbours and their distance in Å.
Element x y z (fractional)
Sb 0.7500 0.7500 0.7500  4 Ce 3.34, 4 Pm 3.34
Ce 0.5000 0.5000 0.5000  8 Sb 3.34
Pm 0.0000 0.0000 0.0000  8 Sb 3.34
Sb 0.2500 0.2500 0.2500  4 Pm 3.34, 4 Ce 3.34

Volume in Å³ per cell: 115.0
Formation energy (no corrections) in eV/f.u.: -3.48
Energy above the most stable polymorph in this dataset in eV/atom: 0.250
Mass density in g cm⁻³: 7.6
Space group: Fm-3m, No. 225
Total moment in μB/f.u.: 1.2

# 5
Density functional theory data (GGA-PBE) for a geometry-optimized Al2PH3O7 structure.

Cell: 7.7851 7.7851 5.1169 Å, 70.89 70.89 62.76°
Last column: nearest neighbours and their distance in Å.
Element x y z (fractional)
Al 0.8009 0.1991 0.0000  6 O 1.86-2.01
O 0.3028 0.3028 0.7067  1 P 1.55
O 0.5765 0.2620 0.2857  1 P 1.54
H 0.1329 0.1329 0.6025  1 O 0.99
O 0.7380 0.4235 0.7143  1 P 1.54
O 0.2859 0.9234 0.1633  1 H 0.98
H 0.3538 0.8539 0.3210  1 O 0.98
H 0.6462 0.1461 0.6790  1 O 0.98
O 0.2620 0.5765 0.2857  1 P 1.54
O 0.7141 0.0766 0.8367  1 H 0.98
P 0.3501 0.3501 0.3784  4 O 1.54-1.55
O 0.7465 0.7465 0.7206  1 P 1.55
Al 0.8138 0.8138 0.9721  4 O 1.77-1.83
O 0.4235 0.7380 0.7143  1 P 1.54
H 0.1461 0.6462 0.6790  1 O 0.98
O 0.0766 0.7141 0.8367  1 H 0.98
O 0.9133 0.9133 0.1940  1 H 0.99
Al 0.1862 0.1862 0.0279  4 O 1.77-1.83
H 0.8539 0.3538 0.3210  1 O 0.98
O 0.2535 0.2535 0.2794  1 P 1.55
Al 0.1991 0.8009 0.0000  6 O 1.86-2.01
O 0.0867 0.0867 0.8060  1 H 0.99
O 0.9234 0.2859 0.1633  1 H 0.98
P 0.6499 0.6499 0.6216  4 O 1.54-1.55
O 0.6972 0.6972 0.2933  1 P 1.55
H 0.8671 0.8671 0.3975  1 O 0.99

Volume in Å³ per cell: 254.7
Total DFT energy (no corrections) in eV/atom: -6.6161
Mass density in g cm⁻³: 2.6
Space group: C2/m, No. 12
Total moment in μB/f.u.: 0.0

# 6
Density functional theory data (GGA-PBE) for a geometry-optimized Nd10DyTm4 structure.

Cell: 7.7898 9.5393 9.5393 Å, 80.40 65.90 65.90°
Last column: nearest neighbours and their distance in Å.
Element x y z (fractional)
Dy 0.0000 0.0000 0.0000  8 Nd 3.38
Nd 0.1508 0.3007 0.8989  3 Tm 3.37, 1 Dy 3.38
Tm 0.7998 0.6000 0.8004  8 Nd 3.37-3.38
Nd 0.4515 0.8989 0.6993  3 Tm 3.37, 1 Dy 3.38
Nd 0.8492 0.6993 0.1011  3 Tm 3.37, 1 Dy 3.38
Nd 0.6496 0.3007 0.8989  3 Tm 3.37, 1 Dy 3.38
Tm 0.3998 0.8004 0.4000  8 Nd 3.37-3.38
Nd 0.0497 0.1011 0.3007  3 Tm 3.37, 1 Dy 3.38
Tm 0.6002 0.1996 0.6000  8 Nd 3.37-3.38
Nd 0.2500 0.5000 0.5000  4 Tm 3.38
Tm 0.2002 0.4000 0.1996  8 Nd 3.37-3.38
Nd 0.9503 0.8989 0.6993  3 Tm 3.37, 1 Dy 3.38
Nd 0.7500 0.5000 0.5000  4 Tm 3.38
Nd 0.3504 0.6993 0.1011  3 Tm 3.37, 1 Dy 3.38
Nd 0.5485 0.1011 0.3007  3 Tm 3.37, 1 Dy 3.38

Volume in Å³ per cell: 590.7
Mass density in g cm⁻³: 6.4
ΔE_f in meV per atom: 680.3
Space group: I4/m, No. 87
Total moment in μB/f.u.: 0.0

# 7
Density functional theory data (GGA-PBE) for a geometry-optimized ScHg2S structure.

Cell: 8.2004 8.2004 6.4059 Å, 50.20 50.20 90.00°
Last column: nearest neighbours and their distance in Å.
Element x y z (fractional)
Hg 0.1330 0.6250 0.2500  2 Hg 2.73, 2 S 2.93, 2 Sc 3.02
S 0.5000 0.5000 0.0000  2 Sc 2.72, 4 Hg 2.93
Sc 0.7500 0.2500 0.5000  2 S 2.72, 4 Hg 3.02
Sc 0.0000 0.0000 0.0000  2 S 2.72, 4 Hg 3.02
Hg 0.8750 0.8670 0.7500  2 Hg 2.73, 2 S 2.93, 2 Sc 3.02
Hg 0.3750 0.3830 0.7500  2 Hg 2.73, 2 S 2.93, 2 Sc 3.02
Hg 0.6170 0.1250 0.2500  2 Hg 2.73, 2 S 2.93, 2 Sc 3.02
S 0.2500 0.7500 0.5000  2 Sc 2.72, 4 Hg 2.93

Volume in Å³ per cell: 183.1
Formation energy (no corrections) in eV/f.u.: -1.49
Mass density in g cm⁻³: 8.7
Space group: I-42d, No. 122
Total moment in μB/f.u.: 0.0

# 8
Density functional theory data (GGA-PBE) for a geometry-optimized SrDySnHg structure.

Cell: 5.4811 5.4811 5.4811 Å, 60.00 60.00 60.00°
Last column: nearest neighbours and their distance in Å.
Element x y z (fractional)
Sr 0.5000 0.5000 0.5000  4 Sn 3.36, 4 Hg 3.36
Dy 0.0000 0.0000 0.0000  4 Sn 3.36, 4 Hg 3.36
Hg 0.7500 0.7500 0.7500  4 Sr 3.36, 4 Dy 3.36
Sn 0.2500 0.2500 0.2500  4 Dy 3.36, 4 Sr 3.36

Volume in Å³ per cell: 116.4
Mass density in g cm⁻³: 8.1
ΔE_f in meV per atom: -521.8
Space group: F-43m, No. 216
Total moment in μB/f.u.: 0.0